Entry 1:
A relaxed SrMg3Ni crystal, computed with PBEsol.

```
data_SrMg3Ni
_cell_length_a 4.946
_cell_length_b 4.946
_cell_length_c 4.946
_cell_angle_alpha 90.00
_cell_angle_beta 90.00
_cell_angle_gamma 90.00
_symmetry_space_group_name_H-M 'P m -3 m'
_symmetry_Int_Tables_number 221
_symmetry_space_group_name_Hall '-P 4 2 3'
loop_
_atom_site_label
_atom_site_type_symbol
_atom_site_fract_x
_atom_site_fract_y
_atom_site_fract_z
_atom_site_occupancy
Sr1 Sr 0.000 0.000 0.000 1
Mg1 Mg 0.000 0.500 0.500 1
Ni1 Ni 0.500 0.500 0.500 1
```



Entry 2:
A relaxed Sr2MgNi crystal, computed with PBEsol.

```
data_Sr2MgNi
_cell_length_a 4.464
_cell_length_b 4.598
_cell_length_c 11.818
_cell_angle_alpha 90.00
_cell_angle_beta 90.00
_cell_angle_gamma 90.00
_symmetry_space_group_name_H-M 'A m m 2'
_symmetry_Int_Tables_number 38
_symmetry_space_group_name_Hall 'A 2 -2'
loop_
_atom_site_label
_atom_site_type_symbol
_atom_site_fract_x
_atom_site_fract_y
_atom_site_fract_z
_atom_site_occupancy
Sr1 Sr 0.000 0.000 0.000 1
Sr2 Sr 0.500 0.000 0.285 1
Mg1 Mg 0.000 0.000 0.695 1
Ni1 Ni 0.500 0.000 0.588 1
```



Number 1: E_form -0.05 eV per atom. Number 2: E_form 0.08 eV per atom.